(1)
The following is a PBEsol calculation of Mn2TlHg after structural relaxation, from the Alexandria database.

a b c (Å): 3.130 3.130 8.976
angles (deg): 79.96 79.96 60.00
Last column: magnetic moment on the atom in μB.
Element x y z (fractional)
Hg 0.500 0.500 0.500  -0.04
Mn 0.248 0.248 0.257  3.67
Mn 0.752 0.752 0.743  3.67
Tl 0.000 0.000 0.000  -0.06

Computed properties:
The formation enthalpy at 0 K comes out at 0.557 eV/atom.

=====

(2)
The following is a PBEsol calculation of Mn2TlHg after structural relaxation, from the Alexandria database.

a b c (Å): 3.943 3.943 5.356
angles (deg): 111.60 111.60 90.00
Last column: magnetic moment on the atom in μB.
Element x y z (fractional)
Hg 0.250 0.750 0.500  -0.05
Mn 0.000 0.000 0.000  3.45
Mn 0.750 0.250 0.500  3.53
Tl 0.500 0.500 0.000  -0.10

Computed properties:
The formation enthalpy at 0 K comes out at 0.524 eV/atom.

=====

(3)
The following is a PBEsol calculation of MnHgW2 after structural relaxation, from the Alexandria database.

a b c (Å): 3.193 3.193 6.223
angles (deg): 90.00 90.00 90.00
Last column: magnetic moment on the atom in μB.
Element x y z (fractional)
Hg 0.000 0.000 0.516  -0.03
Mn 0.500 0.500 0.769  2.87
W 0.000 0.000 0.994  -0.26
W 0.500 0.500 0.221  0.21

Computed properties:
The formation enthalpy at 0 K comes out at 0.431 eV/atom.

=====

(4)
The following is a PBEsol calculation of MnHgW2 after structural relaxation, from the Alexandria database.

a b c (Å): 2.801 2.801 9.255
angles (deg): 81.30 81.30 60.00
Element x y z (fractional)
Hg 0.500 0.500 0.500
Mn 0.000 0.000 0.000
W 0.260 0.260 0.220
W 0.740 0.740 0.780

Computed properties:
The formation enthalpy at 0 K comes out at 0.556 eV/atom.

=====

(5)
The following is a PBEsol calculation of MnHg2W after structural relaxation, from the Alexandria database.

a b c (Å): 2.998 4.775 5.543
angles (deg): 115.51 105.69 90.00
Last column: magnetic moment on the atom in μB.
Element x y z (fractional)
Hg 0.990 0.990 0.980  -0.03
Hg 0.771 0.271 0.542  0.00
Mn 0.526 0.526 0.053  1.67
W 0.213 0.713 0.426  -0.40

Computed properties:
The formation enthalpy at 0 K comes out at 0.621 eV/atom.

=====

(6)
The following is a PBEsol calculation of MnHg2W after structural relaxation, from the Alexandria database.

a b c (Å): 4.113 4.113 4.928
angles (deg): 114.66 114.66 90.00
Last column: magnetic moment on the atom in μB.
Element x y z (fractional)
Hg 0.000 0.000 0.000  -0.03
Hg 0.750 0.250 0.500  -0.01
Mn 0.500 0.500 0.000  2.97
W 0.250 0.750 0.500  -0.91

Computed properties:
The formation enthalpy at 0 K comes out at 0.757 eV/atom.